1.
Here is a geometry-optimized HfZrZn2 structure from the Alexandria database. Energies are from PBE.

The structure belongs to space group I-42d (No. 122); the cell edges are 7.530, 7.530 and 5.556 Å and the angles 90.00°, 90.00° and 90.00°. The distinct sites, in fractional coordinates, are Hf at (0.000, 0.000, 0.000), Zr at (0.000, 0.000, 0.500) and Zn at (0.247, 0.250, 0.125).

The value obtained for the energy of formation from the pure elements is 19 kJ/mol of atoms. The electronic total energy is -5.07 eV/atom. The energy above the most stable polymorph in this dataset is 1.73 eV/f.u.

***

2.
Here is a geometry-optimized Na7Pb3 structure from the Alexandria database. Energies are from PBE.

The structure belongs to space group C2/m (No. 12); the cell edges are 17.310, 5.009 and 6.886 Å and the angles 90.00°, 94.39° and 90.00°. The distinct sites, in fractional coordinates, are Na at (0.000, 0.000, 0.000), Na at (0.101, 0.500, 0.304), Na at (0.102, 0.500, 0.794), Na at (0.196, 0.000, 0.611), Pb at (0.000, 0.000, 0.500) and Pb at (0.208, 0.000, 0.106).

The value obtained for the energy of formation from the pure elements is -12 kJ/mol of atoms. The electronic total energy is -2.16 eV/atom. The energy above the most stable polymorph in this dataset is 0.00 eV/f.u.

***

3.
Here is a geometry-optimized InBi2Pb5 structure from the Alexandria database. Energies are from PBE.

The structure belongs to space group Pbam (No. 55); the cell edges are 7.100, 14.134 and 5.029 Å and the angles 90.00°, 90.00° and 90.00°. The distinct sites, in fractional coordinates, are In at (0.000, 0.000, 0.000), Bi at (0.248, 0.374, 0.500), Pb at (0.000, 0.500, 0.000), Pb at (0.005, 0.749, 0.000) and Pb at (0.239, 0.122, 0.500).

The value obtained for the energy of formation from the pure elements is 1 kJ/mol of atoms. The electronic total energy is -3.62 eV/atom. The energy above the most stable polymorph in this dataset is 0.00 eV/f.u.

***

4.
Here is a geometry-optimized TmTh2Se5 structure from the Alexandria database. Energies are from PBE.

The structure belongs to space group Pnma (No. 62); the cell edges are 12.599, 8.262 and 7.843 Å and the angles 90.00°, 90.00° and 90.00°. The distinct sites, in fractional coordinates, are Tm at (0.004, 0.250, 0.074), Th at (0.180, 0.501, 0.514), Se at (0.002, 0.250, 0.462), Se at (0.101, 0.538, 0.160), Se at (0.181, 0.250, 0.824) and Se at (0.208, 0.750, 0.800).

The electronic total energy is -6.35 eV/atom. As for the uncorrected formation energy: -1.7593 eV per atom.

***

5.
Here is a geometry-optimized La2Be3InPt4 structure from the Alexandria database. Energies are from PBE.

The structure belongs to space group P-4m2 (No. 115); the cell edges are 4.145, 4.145 and 10.554 Å and the angles 90.00°, 90.00° and 90.00°. The distinct sites, in fractional coordinates, are La at (0.000, 0.500, 0.236), Be at (0.000, 0.500, 0.891), Be at (0.500, 0.500, 0.500), In at (0.000, 0.000, 0.500), Pt at (0.000, 0.000, 0.000), Pt at (0.000, 0.500, 0.664) and Pt at (0.500, 0.500, 0.000).

The value obtained for the energy of formation from the pure elements is -77 kJ/mol of atoms. The electronic total energy is -5.59 eV/atom.

***

6.
Here is a geometry-optimized HgP2Os structure from the Alexandria database. Energies are from PBE.

The structure belongs to space group Imm2 (No. 44); the cell edges are 2.912, 2.966 and 18.023 Å and the angles 90.00°, 90.00° and 90.00°. The distinct sites, in fractional coordinates, are Hg at (0.000, 0.000, 0.000), P at (0.000, 0.000, 0.342), P at (0.000, 0.500, 0.167) and Os at (0.000, 0.500, 0.738).

The value obtained for the energy of formation from the pure elements is 13 kJ/mol of atoms. The electronic total energy is -5.45 eV/atom.

***

7.
Here is a geometry-optimized RbFe2CuS4 structure from the Alexandria database. Energies are from PBE.

The structure belongs to space group I222 (No. 23); the cell edges are 5.276, 8.146 and 9.707 Å and the angles 90.00°, 90.00° and 90.00°. The distinct sites, in fractional coordinates, are Rb at (0.000, 0.000, 0.000), Fe at (0.000, 0.500, 0.103), Cu at (0.000, 0.000, 0.500) and S at (0.210, 0.148, 0.329).

The electronic total energy is -4.91 eV/atom. As for the uncorrected formation energy: -0.0971 eV per atom.

***

8.
Here is a geometry-optimized CoHg2Cl structure from the Alexandria database. Energies are from PBE.

The structure belongs to space group P4mm (No. 99); the cell edges are 3.057, 3.057 and 9.441 Å and the angles 90.00°, 90.00° and 90.00°. The distinct sites, in fractional coordinates, are Co at (0.000, 0.000, 0.000), Hg at (0.000, 0.000, 0.516), Hg at (0.500, 0.500, 0.217) and Cl at (0.500, 0.500, 0.877).

The electronic total energy is -2.26 eV/atom. The energy above the most stable polymorph in this dataset is 0.59 eV/f.u. As for the uncorrected formation energy: 0.1297 eV per atom.

***

9.
Here is a geometry-optimized Pm2Pr3Y structure from the Alexandria database. Energies are from PBE.

The structure belongs to space group P2_1/m (No. 11); the cell edges are 8.663, 3.767 and 13.013 Å and the angles 90.00°, 90.03° and 90.00°. The distinct sites, in fractional coordinates, are Pm at (0.084, 0.250, 0.109), Pm at (0.351, 0.750, 0.551), Pr at (0.088, 0.250, 0.390), Pr at (0.347, 0.750, 0.946), Pr at (0.395, 0.750, 0.251) and Y at (0.190, 0.250, 0.748).

The value obtained for the energy of formation from the pure elements is 5 kJ/mol of atoms. The electronic total energy is -5.00 eV/atom. The energy above the most stable polymorph in this dataset is 0.00 eV/f.u.

***

10.
Here is a geometry-optimized PaCoPb structure from the Alexandria database. Energies are from PBE.

The structure belongs to space group Cmcm (No. 63); the cell edges are 3.579, 21.102 and 3.677 Å and the angles 90.00°, 90.00° and 90.00°. The distinct sites, in fractional coordinates, are Pa at (0.000, 0.074, 0.250), Co at (0.000, 0.454, 0.250) and Pb at (0.000, 0.316, 0.250).

The value obtained for the energy of formation from the pure elements is -23 kJ/mol of atoms. The electronic total energy is -7.00 eV/atom.

***

11.
Here is a geometry-optimized LaPBr2O structure from the Alexandria database. Energies are from PBE.

The structure belongs to space group P4/mmm (No. 123); the cell edges are 4.756, 4.756 and 5.901 Å and the angles 90.00°, 90.00° and 90.00°. The distinct sites, in fractional coordinates, are La at (0.000, 0.000, 0.000), P at (0.000, 0.000, 0.500), Br at (0.000, 0.500, 0.500) and O at (0.500, 0.500, 0.000).

The electronic total energy is -4.04 eV/atom. As for the uncorrected formation energy: -0.3098 eV per atom.

***

12.
Here is a geometry-optimized SrOsPt2 structure from the Alexandria database. Energies are from PBE.

The structure belongs to space group F-43m (No. 216); the cell edges are 6.694, 6.694 and 6.694 Å and the angles 90.00°, 90.00° and 90.00°. The distinct sites, in fractional coordinates, are Sr at (0.000, 0.000, 0.000), Os at (0.250, 0.250, 0.250), Pt at (0.000, 0.000, 0.500) and Pt at (0.250, 0.250, 0.750).

The value obtained for the energy of formation from the pure elements is 53 kJ/mol of atoms. The electronic total energy is -5.70 eV/atom. The energy above the most stable polymorph in this dataset is 2.08 eV/f.u.